{
  "formula": "Pr2ThSc4",
  "functional": "PBE-GGA",
  "state": "optimized geometry",
  "volume_a3_per_atom": 34.2,
  "final_energy_ev_per_cell": -37.1,
  "total_magnetization_mub_per_fu": 0.0,
  "formation_energy_mev_per_atom": 740,
  "dos_ef_per_ev_cell": 10.71,
  "lattice_angstrom": [[-3.845, 2.253, 3.010], [-3.229, -4.185, -0.992], [6.505, -2.910, 5.684]],
  "species": ["Pr", "Pr", "Th", "Sc", "Sc", "Sc", "Sc"],
  "fractional_positions": [[0.625, 0.625, 0.250], [0.375, 0.375, 0.750], [0.000, 0.000, 0.000], [0.827, 0.827, 0.655], [0.173, 0.173, 0.345], [0.000, 0.500, 0.000], [0.500, 0.000, 0.000]]
}